# 1
Compound: ReGeOs
Source: Alexandria via LeMat-Bulk
Functional: GGA-PBE
Structure: optimized geometry

## Properties
As for the distance to the lowest polymorph of the same formula: 0.59 eV/f.u. As for the energy relative to the elements: 0.2581 eV per atom. The calculated volume is 44.8 Å³/f.u. For the density, the calculation gives 16.63 g/cm³.

Cell: 5.2249 4.0770 9.0819 Å, 90.00 112.00 90.00°
With the nearest neighbours (Å) after each atom.
Fractional coordinates of all 12 atoms:
Ge (0.6262, 0.5000, 0.3087)  4 Re 2.57-2.83, 5 Os 2.65-2.84
Re (0.2523, 0.0000, 0.1448)  4 Os 2.55-2.72, 3 Ge 2.65-2.83, 2 Re 2.67
Os (0.7195, 0.5000, 0.6168)  4 Re 2.55-2.85, 5 Ge 2.65-2.84, 2 Os 2.83
Re (0.0985, 0.0000, 0.7821)  3 Os 2.57-2.85, 4 Ge 2.57-2.70, 2 Re 2.67
Re (0.0985, 0.5000, 0.2821)  3 Os 2.57-2.85, 4 Ge 2.57-2.70, 2 Re 2.67
Re (0.2523, 0.5000, 0.6448)  4 Os 2.55-2.72, 3 Ge 2.65-2.83, 2 Re 2.67
Ge (0.3980, 0.5000, 0.9570)  4 Os 2.52-2.72, 3 Re 2.65-2.70
Os (0.7195, 0.0000, 0.1168)  4 Re 2.55-2.85, 5 Ge 2.65-2.84, 2 Os 2.83
Os (0.9307, 0.0000, 0.4777)  4 Ge 2.52-2.72, 3 Re 2.57-2.72
Os (0.9307, 0.5000, 0.9777)  4 Ge 2.52-2.72, 3 Re 2.57-2.72
Ge (0.6262, 0.0000, 0.8087)  4 Re 2.57-2.83, 5 Os 2.65-2.84
Ge (0.3980, 0.0000, 0.4570)  4 Os 2.52-2.72, 3 Re 2.65-2.70


# 2
Compound: Ba3HoTe2O9
Source: Alexandria via LeMat-Bulk
Functional: GGA-PBE
Structure: optimized geometry

## Properties
The calculated volume is 241.7 Å³/f.u. For the density, the calculation gives 6.70 g/cm³. The raw total energy comes out at -6.324 eV/atom.

Cell: 6.1065 6.1065 7.4856 Å, 90.00 90.00 120.00°
With the nearest neighbours (Å) after each atom.
Fractional coordinates of all 15 atoms:
Ba (0.0000, 0.0000, 0.0000)  12 O 3.05-3.08
Te (0.6667, 0.3333, 0.8266)  6 O 2.06-2.19
Ba (0.6667, 0.3333, 0.3226)  12 O 2.99-3.10
O (0.5000, 0.0000, 0.0000)  2 Te 2.19
O (0.8263, 0.6526, 0.6695)  1 Te 2.06, 1 Ho 2.23
Ho (0.0000, 0.0000, 0.5000)  6 O 2.23
O (0.3474, 0.1737, 0.6695)  1 Te 2.06, 1 Ho 2.23
O (0.0000, 0.5000, 0.0000)  2 Te 2.19
Te (0.3333, 0.6667, 0.1734)  6 O 2.06-2.19
O (0.8263, 0.1737, 0.6695)  1 Te 2.06, 1 Ho 2.23
Ba (0.3333, 0.6667, 0.6774)  12 O 2.99-3.10
O (0.5000, 0.5000, 0.0000)  2 Te 2.19
O (0.1737, 0.3474, 0.3305)  1 Te 2.06, 1 Ho 2.23
O (0.6526, 0.8263, 0.3305)  1 Te 2.06, 1 Ho 2.23
O (0.1737, 0.8263, 0.3305)  1 Te 2.06, 1 Ho 2.23


# 3
Compound: HoPaCrC3
Source: Alexandria via LeMat-Bulk
Functional: GGA-PBE
Structure: optimized geometry

## Properties
As for the energy relative to the elements: -0.2128 eV per atom. The calculated volume is 82.5 Å³/f.u. For the density, the calculation gives 9.74 g/cm³.

Cell: 3.8000 6.8155 6.8863 Å, 104.91 90.00 106.19°
With the nearest neighbours (Å) after each atom.
Fractional coordinates of all 12 atoms:
Ho (0.6479, 0.2959, 0.0784)  7 C 2.49-2.64
C (0.1638, 0.3275, 0.3515)  1 Cr 2.14
C (0.8450, 0.6899, 0.1828)  1 Cr 1.92
C (0.8362, 0.6725, 0.6485)  1 Cr 2.14
Ho (0.3521, 0.7041, 0.9216)  7 C 2.49-2.64
Pa (0.3545, 0.7090, 0.4292)  7 C 2.41-2.54
C (0.5020, 0.0041, 0.2530)  2 Cr 1.91
Cr (0.0042, 0.0084, 0.7756)  4 C 1.91-2.14
Pa (0.6455, 0.2910, 0.5708)  7 C 2.41-2.54
C (0.4980, 0.9959, 0.7470)  2 Cr 1.91
C (0.1550, 0.3101, 0.8172)  1 Cr 1.92
Cr (0.9958, 0.9916, 0.2244)  4 C 1.91-2.14


# 4
Compound: B2AuCl
Source: Alexandria via LeMat-Bulk
Functional: GGA-PBE
Structure: optimized geometry

## Properties
As for the distance to the lowest polymorph of the same formula: 3.09 eV/f.u. The calculated volume is 59.3 Å³/f.u. For the density, the calculation gives 7.11 g/cm³.

Cell: 4.3781 4.3781 4.3781 Å, 60.00 60.00 60.00°
With the nearest neighbours (Å) after each atom.
Fractional coordinates of all 4 atoms:
Cl (0.0000, 0.0000, 0.0000)  8 B 2.68
Au (0.5000, 0.5000, 0.5000)  8 B 2.68
B (0.7500, 0.7500, 0.7500)  4 Cl 2.68, 4 Au 2.68
B (0.2500, 0.2500, 0.2500)  4 Cl 2.68, 4 Au 2.68


# 5
Compound: K2PuTl3O6
Source: Alexandria via LeMat-Bulk
Functional: GGA-PBE
Structure: optimized geometry

## Properties
The calculated volume is 238.2 Å³/f.u. For the density, the calculation gives 7.19 g/cm³. The raw total energy comes out at -6.069 eV/atom.

Cell: 6.7022 6.7022 6.4883 Å, 98.71 98.71 120.84°
With the nearest neighbours (Å) after each atom.
Fractional coordinates of all 12 atoms:
O (0.9327, 0.6925, 0.8253)  1 Pu 1.98
O (0.8193, 0.8193, 0.2265)  1 Pu 2.16
K (0.6691, 0.3309, 0.0000)  6 O 2.71-2.93
Tl (0.8456, 0.1544, 0.5000)  4 O 2.55-2.79
K (0.3309, 0.6691, 0.0000)  6 O 2.71-2.93
O (0.1807, 0.1807, 0.7735)  1 Pu 2.16
O (0.6925, 0.9327, 0.8253)  1 Pu 1.98
Pu (0.0000, 0.0000, 0.0000)  6 O 1.98-2.16
O (0.0673, 0.3075, 0.1747)  1 Pu 1.98
Tl (0.5000, 0.5000, 0.5000)  6 O 2.83-3.15
Tl (0.1544, 0.8456, 0.5000)  4 O 2.55-2.79
O (0.3075, 0.0673, 0.1747)  1 Pu 1.98


# 6
Compound: ZnPtAu
Source: Alexandria via LeMat-Bulk
Functional: GGA-PBE
Structure: optimized geometry

## Properties
As for the distance to the lowest polymorph of the same formula: 0.07 eV/f.u. As for the energy relative to the elements: -0.2813 eV per atom. The calculated volume is 47.5 Å³/f.u. For the density, the calculation gives 16.00 g/cm³.

Cell: 2.8936 5.6893 6.1258 Å, 103.65 103.75 90.42°
With the nearest neighbours (Å) after each atom.
Fractional coordinates of all 6 atoms:
Zn (0.9981, 0.7672, 0.4969)  3 Zn 2.64-2.89, 4 Pt 2.67-2.69, 4 Au 2.74-2.78
Pt (0.3415, 0.9223, 0.1829)  4 Zn 2.67-2.69, 4 Au 2.83-2.96, 4 Pt 2.89-2.93
Pt (0.6585, 0.0777, 0.8171)  4 Zn 2.67-2.69, 4 Au 2.83-2.96, 4 Pt 2.89-2.93
Au (0.6557, 0.5793, 0.8102)  4 Zn 2.74-2.78, 4 Pt 2.83-2.96, 4 Au 2.89-3.00
Au (0.3443, 0.4207, 0.1898)  4 Zn 2.74-2.78, 4 Pt 2.83-2.96, 4 Au 2.89-3.00
Zn (0.0019, 0.2328, 0.5031)  3 Zn 2.64-2.89, 4 Pt 2.67-2.69, 4 Au 2.74-2.78


# 7
Compound: PaSiS4
Source: Alexandria via LeMat-Bulk
Functional: GGA-PBE
Structure: optimized geometry

## Properties
As for the distance to the lowest polymorph of the same formula: 0.00 eV/f.u. The calculated volume is 144.2 Å³/f.u. For the density, the calculation gives 4.46 g/cm³.

Cell: 7.2400 7.2396 7.2398 Å, 74.10 74.10 116.88°
With the nearest neighbours (Å) after each atom.
Fractional coordinates of all 12 atoms:
Pa (0.8751, 0.6250, 0.2500)  8 S 2.82-2.83
Si (0.3751, 0.1251, 0.2500)  4 S 2.14
S (0.8167, 0.8865, 0.9301)  1 Si 2.14
S (0.3866, 0.3167, 0.4302)  1 Si 2.14
S (0.6134, 0.6832, 0.5698)  1 Si 2.14
S (0.2531, 0.6833, 0.9301)  1 Si 2.14
Si (0.6249, 0.8749, 0.7500)  4 S 2.14
Pa (0.1249, 0.3749, 0.7500)  8 S 2.82-2.83
S (0.7469, 0.3167, 0.0699)  1 Si 2.14
S (0.8167, 0.2468, 0.5699)  1 Si 2.14
S (0.1833, 0.1135, 0.0699)  1 Si 2.14
S (0.1833, 0.7532, 0.4301)  1 Si 2.14


# 8
Compound: IrSeBr2Cl
Source: Alexandria via LeMat-Bulk
Functional: GGA-PBE
Structure: optimized geometry

## Properties
As for the distance to the lowest polymorph of the same formula: 0.00 eV/f.u. The calculated volume is 127.4 Å³/f.u. For the density, the calculation gives 6.08 g/cm³.

Cell: 5.1985 5.1985 4.7136 Å, 90.00 90.00 90.00°
With the nearest neighbours (Å) after each atom.
Fractional coordinates of all 5 atoms:
Cl (0.5000, 0.5000, 0.5000)  8 Br 3.51, 4 Se 3.68
Br (0.5000, 0.0000, 0.0000)  2 Ir 2.60
Ir (0.0000, 0.0000, 0.0000)  2 Se 2.36, 4 Br 2.60
Se (0.0000, 0.0000, 0.5000)  2 Ir 2.36
Br (0.0000, 0.5000, 0.0000)  2 Ir 2.60


Number 7 is which compound?
PaSiS4


Which of these has the lowest calculated volume?
ReGeOs


Which formula does entry 6 have?
ZnPtAu